No. 1
Computed, not measured: an optimized crystal structure of LiGdO3 at the PBE level of DFT.

Summary:
Uncorrected energy ... -6.15 eV per atom
Space group ... P4mm (99)

Cell: 3.658 3.658 3.660 Å, 90.00 90.00 90.00°
Atoms (fractional coordinates):
Li: 0.000 0.000 0.000
Gd: 0.500 0.500 0.503
O: 0.000 0.000 0.500
O: 0.000 0.500 0.999
O: 0.500 0.000 0.999

No. 2
Computed, not measured: an optimized crystal structure of Li8Gd4O11 at the PBE level of DFT.

Summary:
Uncorrected energy ... -6.19 eV per atom
Space group ... P1 (1)

Cell: 5.109 5.908 9.403 Å, 99.13 103.92 97.20°
Atoms (fractional coordinates):
Li: 0.000 0.000 0.000
Li: 0.007 0.057 0.691
Li: 0.059 0.604 0.871
Li: 0.186 0.265 0.516
Li: 0.493 0.837 0.054
Li: 0.773 0.361 0.586
Li: 0.925 0.027 0.248
Li: 0.979 0.633 0.116
Gd: 0.419 0.726 0.705
Gd: 0.505 0.286 0.884
Gd: 0.516 0.882 0.405
Gd: 0.526 0.339 0.247
O: 0.152 0.402 0.715
O: 0.185 0.936 0.533
O: 0.218 0.932 0.857
O: 0.254 0.977 0.204
O: 0.268 0.476 0.047
O: 0.482 0.525 0.484
O: 0.634 0.084 0.676
O: 0.715 0.703 0.230
O: 0.724 0.654 0.904
O: 0.745 0.177 0.083
O: 0.813 0.188 0.407

No. 3
Computed, not measured: an optimized crystal structure of Li4Gd2O5 at the PBE level of DFT.

Summary:
Uncorrected energy ... -6.31 eV per atom
Space group ... Cmmm (65)

Cell: 7.204 7.204 4.530 Å, 90.00 90.00 143.19°
Atoms (fractional coordinates):
Li: 0.000 0.000 0.000
Li: 0.188 0.812 0.500
Li: 0.500 0.500 0.500
Li: 0.812 0.188 0.500
Gd: 0.342 0.658 0.000
Gd: 0.658 0.342 0.000
O: 0.164 0.836 0.000
O: 0.342 0.658 0.500
O: 0.500 0.500 0.000
O: 0.658 0.342 0.500
O: 0.836 0.164 0.000

No. 4
Computed, not measured: an optimized crystal structure of LiGdO2 at the PBE level of DFT.

Summary:
Uncorrected energy ... -7.01 eV per atom
Space group ... P2_1/c (14)

Cell: 6.240 6.142 6.347 Å, 90.00 119.30 90.00°
Atoms (fractional coordinates):
Li: 0.199 0.158 0.427
Li: 0.199 0.342 0.927
Li: 0.801 0.658 0.073
Li: 0.801 0.842 0.573
Gd: 0.270 0.632 0.527
Gd: 0.270 0.868 0.027
Gd: 0.730 0.132 0.973
Gd: 0.730 0.368 0.473
O: 0.048 0.606 0.739
O: 0.048 0.894 0.239
O: 0.480 0.181 0.141
O: 0.480 0.319 0.641
O: 0.520 0.681 0.359
O: 0.520 0.819 0.859
O: 0.952 0.106 0.761
O: 0.952 0.394 0.261

No. 5
Computed, not measured: an optimized crystal structure of LiGdO2 at the PBE level of DFT.

Summary:
Uncorrected energy ... -6.98 eV per atom
Space group ... I4_1/amd (141)

Cell: 6.107 6.107 6.107 Å, 136.90 136.90 62.60°
Atoms (fractional coordinates):
Li: 0.375 0.625 0.750
Li: 0.625 0.375 0.250
Gd: 0.125 0.875 0.250
Gd: 0.875 0.125 0.750
O: 0.098 0.348 0.750
O: 0.348 0.098 0.250
O: 0.652 0.902 0.750
O: 0.902 0.652 0.250

No. 6
Computed, not measured: an optimized crystal structure of LiGdO3 at the PBE level of DFT.

Summary:
Uncorrected energy ... -6.29 eV per atom
Space group ... Pnma (62)

Cell: 5.798 7.308 5.000 Å, 90.00 90.00 90.00°
Atoms (fractional coordinates):
Li: 0.000 0.000 0.000
Li: 0.000 0.500 0.000
Li: 0.500 0.000 0.500
Li: 0.500 0.500 0.500
Gd: 0.105 0.250 0.462
Gd: 0.395 0.750 0.962
Gd: 0.605 0.250 0.038
Gd: 0.895 0.750 0.538
O: 0.010 0.250 0.914
O: 0.199 0.549 0.663
O: 0.199 0.951 0.663
O: 0.301 0.049 0.163
O: 0.301 0.451 0.163
O: 0.490 0.750 0.414
O: 0.510 0.250 0.586
O: 0.699 0.549 0.837
O: 0.699 0.951 0.837
O: 0.801 0.049 0.337
O: 0.801 0.451 0.337
O: 0.990 0.750 0.086